No. 1
# LiTm4Bi2 PBE-GGA relaxed
data_LiTm4Bi2
_chemical_formula_sum 'Li2 Tm8 Bi4'
_symmetry_space_group_name_H-M 'P 1'
_symmetry_Int_Tables_number 1
_symmetry_space_group_name_Hall 'P 1'
_cell_length_a 7.566
_cell_length_b 6.463
_cell_length_c 8.649
_cell_angle_alpha 90.00
_cell_angle_beta 112.42
_cell_angle_gamma 90.00
loop_
_atom_site_label
_atom_site_type_symbol
_atom_site_fract_x
_atom_site_fract_y
_atom_site_fract_z
Li1 Li 0.045 0.250 0.298
Li2 Li 0.955 0.750 0.702
Tm1 Tm 0.205 0.750 0.112
Tm2 Tm 0.337 0.001 0.784
Tm3 Tm 0.337 0.499 0.784
Tm4 Tm 0.476 0.250 0.474
Tm5 Tm 0.524 0.750 0.526
Tm6 Tm 0.663 0.501 0.216
Tm7 Tm 0.663 0.999 0.216
Tm8 Tm 0.795 0.250 0.888
Bi1 Bi 0.086 0.750 0.425
Bi2 Bi 0.255 0.250 0.076
Bi3 Bi 0.745 0.750 0.924
Bi4 Bi 0.914 0.250 0.575
# DOS(E_F), states/eV/f.u.: 6.53
# DFT total energy, eV/atom: -4.2519
# DFT formation energy, eV per formula unit: -2.202
# SG: No. 11

=====

No. 2
# BaMg2W PBE-GGA relaxed
data_BaMg2W
_chemical_formula_sum 'Ba2 Mg4 W2'
_symmetry_space_group_name_H-M 'P 1'
_symmetry_Int_Tables_number 1
_symmetry_space_group_name_Hall 'P 1'
_cell_length_a 10.767
_cell_length_b 10.767
_cell_length_c 10.767
_cell_angle_alpha 152.22
_cell_angle_beta 152.22
_cell_angle_gamma 39.70
loop_
_atom_site_label
_atom_site_type_symbol
_atom_site_fract_x
_atom_site_fract_y
_atom_site_fract_z
Ba1 Ba 0.000 0.000 0.000
Ba2 Ba 0.750 0.250 0.500
Mg1 Mg 0.282 0.625 0.157
Mg2 Mg 0.375 0.532 0.657
Mg3 Mg 0.468 0.125 0.843
Mg4 Mg 0.875 0.718 0.343
W1 W 0.250 0.750 0.500
W2 W 0.500 0.500 0.000
# Energy above the most stable polymorph in this dataset, eV per atom: 0.579
# DOS(E_F), states/eV/f.u.: 4.93
# DFT total energy, eV/atom: -3.3195
# DFT formation energy, eV per formula unit: 4.787
# SG: No. 122

=====

No. 3
# Cs2TmAlS4 PBE-GGA relaxed
data_Cs2TmAlS4
_chemical_formula_sum 'Cs4 Tm2 Al2 S8'
_symmetry_space_group_name_H-M 'P 1'
_symmetry_Int_Tables_number 1
_symmetry_space_group_name_Hall 'P 1'
_cell_length_a 14.865
_cell_length_b 13.315
_cell_length_c 7.928
_cell_angle_alpha 84.79
_cell_angle_beta 63.12
_cell_angle_gamma 32.08
loop_
_atom_site_label
_atom_site_type_symbol
_atom_site_fract_x
_atom_site_fract_y
_atom_site_fract_z
Cs1 Cs 0.053 0.053 0.697
Cs2 Cs 0.303 0.303 0.947
Cs3 Cs 0.697 0.697 0.053
Cs4 Cs 0.947 0.947 0.303
Tm1 Tm 0.125 0.125 0.125
Tm2 Tm 0.875 0.875 0.875
Al1 Al 0.375 0.375 0.375
Al2 Al 0.625 0.625 0.625
S1 S 0.014 0.637 0.551
S2 S 0.297 0.551 0.637
S3 S 0.363 0.986 0.703
S4 S 0.449 0.703 0.986
S5 S 0.551 0.297 0.014
S6 S 0.637 0.014 0.297
S7 S 0.703 0.449 0.363
S8 S 0.986 0.363 0.449
# E_form (uncorrected), eV per atom: -1.4645
# DOS(E_F), states/eV/f.u.: 0.00
# DFT total energy, eV/atom: -4.7684
# SG: No. 70

=====

No. 4
# SnB2WC PBE-GGA relaxed
data_SnB2WC
_chemical_formula_sum 'Sn1 B2 W1 C1'
_symmetry_space_group_name_H-M 'P 1'
_symmetry_Int_Tables_number 1
_symmetry_space_group_name_Hall 'P 1'
_cell_length_a 3.887
_cell_length_b 3.887
_cell_length_c 4.134
_cell_angle_alpha 90.00
_cell_angle_beta 90.00
_cell_angle_gamma 90.00
loop_
_atom_site_label
_atom_site_type_symbol
_atom_site_fract_x
_atom_site_fract_y
_atom_site_fract_z
Sn1 Sn 0.000 0.000 0.000
B1 B 0.000 0.500 0.500
B2 B 0.500 0.000 0.500
W1 W 0.500 0.500 0.000
C1 C 0.500 0.500 0.500
# DOS(E_F), states/eV/f.u.: 3.24
# DFT total energy, eV/atom: -6.2030
# DFT formation energy, eV per formula unit: 8.520
# SG: No. 123

=====

No. 5
# RbNa4Pd PBE-GGA relaxed
data_RbNa4Pd
_chemical_formula_sum 'Rb2 Na8 Pd2'
_symmetry_space_group_name_H-M 'P 1'
_symmetry_Int_Tables_number 1
_symmetry_space_group_name_Hall 'P 1'
_cell_length_a 11.609
_cell_length_b 11.609
_cell_length_c 5.620
_cell_angle_alpha 103.66
_cell_angle_beta 103.66
_cell_angle_gamma 41.87
loop_
_atom_site_label
_atom_site_type_symbol
_atom_site_fract_x
_atom_site_fract_y
_atom_site_fract_z
Rb1 Rb 0.213 0.213 0.213
Rb2 Rb 0.787 0.787 0.787
Na1 Na 0.180 0.647 0.415
Na2 Na 0.195 0.805 0.000
Na3 Na 0.353 0.820 0.585
Na4 Na 0.376 0.376 0.878
Na5 Na 0.624 0.624 0.122
Na6 Na 0.647 0.180 0.415
Na7 Na 0.805 0.195 0.000
Na8 Na 0.820 0.353 0.585
Pd1 Pd 0.500 0.500 0.253
Pd2 Pd 0.500 0.500 0.747
# DOS(E_F), states/eV/f.u.: 2.28
# DFT total energy, eV/atom: -1.9389
# DFT formation energy, eV per formula unit: -0.197
# SG: No. 12

=====

No. 6
# CeMgTlPd PBE-GGA relaxed
data_CeMgTlPd
_chemical_formula_sum 'Ce1 Mg1 Tl1 Pd1'
_symmetry_space_group_name_H-M 'P 1'
_symmetry_Int_Tables_number 1
_symmetry_space_group_name_Hall 'P 1'
_cell_length_a 5.073
_cell_length_b 5.073
_cell_length_c 5.073
_cell_angle_alpha 60.00
_cell_angle_beta 60.00
_cell_angle_gamma 60.00
loop_
_atom_site_label
_atom_site_type_symbol
_atom_site_fract_x
_atom_site_fract_y
_atom_site_fract_z
Ce1 Ce 0.000 0.000 0.000
Mg1 Mg 0.500 0.500 0.500
Tl1 Tl 0.250 0.250 0.250
Pd1 Pd 0.750 0.750 0.750
# DOS(E_F), states/eV/f.u.: 6.54
# DFT total energy, eV/atom: -4.1615
# DFT formation energy, eV per formula unit: -1.558
# SG: No. 216